# Hg4HPb, relaxed, DFT PBE-GGA
data_Hg4HPb
_chemical_formula_sum 'Hg4 H1 Pb1'
_cell_length_a 3.2898
_cell_length_b 6.2096
_cell_length_c 7.5335
_cell_angle_alpha 81.91
_cell_angle_beta 89.37
_cell_angle_gamma 75.80
_symmetry_space_group_name_H-M 'P 1'
_symmetry_Int_Tables_number 1
loop_
_symmetry_equiv_pos_as_xyz
'x,y,z'
loop_
_atom_site_label
_atom_site_type_symbol
_atom_site_fract_x
_atom_site_fract_y
_atom_site_fract_z
Hg1 Hg 0.0000 0.0000 0.0000
Hg2 Hg 0.1079 0.2290 0.5142
Hg3 Hg 0.3381 0.4072 0.1409
Hg4 Hg 0.5679 0.6189 0.7721
H1 H 0.0467 0.1270 0.7643
Pb1 Pb 0.7042 0.7928 0.3630
# Total magnetic moment = 0.000 μB/atom
# Final energy = -7.30 eV/cell

***

# Na5B7C3, relaxed, DFT PBE-GGA
data_Na5B7C3
_chemical_formula_sum 'Na20 B28 C12'
_cell_length_a 8.5852
_cell_length_b 2.8290
_cell_length_c 25.6567
_cell_angle_alpha 90.00
_cell_angle_beta 90.00
_cell_angle_gamma 90.00
_symmetry_space_group_name_H-M 'A m m 2'
_symmetry_Int_Tables_number 38
loop_
_symmetry_equiv_pos_as_xyz
'x,y,z'
'-x,-y,z'
'-x,y,z'
'x,-y,z'
'x,y+1/2,z+1/2'
'-x,-y+1/2,z+1/2'
'-x,y+1/2,z+1/2'
'x,-y+1/2,z+1/2'
loop_
_atom_site_label
_atom_site_type_symbol
_atom_site_fract_x
_atom_site_fract_y
_atom_site_fract_z
Na1 Na 0.2428 0.0000 0.0000
Na2 Na 0.2444 0.0000 0.6002
Na3 Na 0.2476 0.0000 0.2002
Na4 Na 0.2480 0.0000 0.4002
Na5 Na 0.2481 0.0000 0.8003
B1 B 0.0000 0.0000 0.0735
B2 B 0.0000 0.0000 0.2663
B3 B 0.0000 0.0000 0.4606
B4 B 0.0000 0.0000 0.5328
B5 B 0.0000 0.0000 0.6697
B6 B 0.0000 0.0000 0.8631
B7 B 0.5000 0.0000 0.1226
B8 B 0.5000 0.0000 0.2700
B9 B 0.5000 0.0000 0.3351
B10 B 0.5000 0.0000 0.5326
B11 B 0.5000 0.0000 0.6641
B12 B 0.5000 0.0000 0.7279
B13 B 0.5000 0.0000 0.8738
B14 B 0.5000 0.0000 0.9413
C1 C 0.0000 0.0000 0.1373
C2 C 0.0000 0.0000 0.3315
C3 C 0.0000 0.0000 0.7344
C4 C 0.0000 0.0000 0.9288
C5 C 0.5000 0.0000 0.0627
C6 C 0.5000 0.0000 0.4702
# Total magnetic moment = 0.000 μB/atom
# Formation enthalpy at 0 K = 0.1261 eV per atom

***

# MnTcP, relaxed, DFT PBE-GGA
data_MnTcP
_chemical_formula_sum 'Mn2 Tc2 P2'
_cell_length_a 2.8283
_cell_length_b 2.8283
_cell_length_c 8.9925
_cell_angle_alpha 90.00
_cell_angle_beta 90.00
_cell_angle_gamma 90.00
_symmetry_space_group_name_H-M 'I 4 m m'
_symmetry_Int_Tables_number 107
_symmetry_space_group_name_Hall 'I 4 -2'
loop_
_atom_site_label
_atom_site_type_symbol
_atom_site_fract_x
_atom_site_fract_y
_atom_site_fract_z
Mn1 Mn 0.0000 0.0000 0.0000
Tc1 Tc 0.0000 0.0000 0.6967
P1 P 0.0000 0.0000 0.3648
# Total magnetic moment = 0.000 μB/atom
# Formation enthalpy at 0 K = -0.2744 eV per atom

***

# ReNi2Te, relaxed, DFT PBE-GGA
data_ReNi2Te
_chemical_formula_sum 'Re2 Ni4 Te2'
_cell_length_a 4.0013
_cell_length_b 4.0013
_cell_length_c 7.2181
_cell_angle_alpha 90.00
_cell_angle_beta 90.00
_cell_angle_gamma 90.00
_symmetry_space_group_name_H-M 'I -4 m 2'
_symmetry_Int_Tables_number 119
_symmetry_space_group_name_Hall 'I -4 -2'
loop_
_atom_site_label
_atom_site_type_symbol
_atom_site_fract_x
_atom_site_fract_y
_atom_site_fract_z
Re1 Re 0.0000 0.0000 0.0000
Ni1 Ni 0.0000 0.0000 0.5000
Ni2 Ni 0.0000 0.5000 0.7500
Te1 Te 0.0000 0.5000 0.2500
# E_form (uncorrected) = 0.40 eV per atom
# Total magnetic moment = 0.000 μB/atom

***

# CaYSc2Tc, relaxed, DFT PBE-GGA
data_CaYSc2Tc
_chemical_formula_sum 'Ca1 Y1 Sc2 Tc1'
_cell_length_a 5.1555
_cell_length_b 5.1555
_cell_length_c 5.4038
_cell_angle_alpha 90.00
_cell_angle_beta 90.00
_cell_angle_gamma 90.00
_symmetry_space_group_name_H-M 'P 4/m m m'
_symmetry_Int_Tables_number 123
_symmetry_space_group_name_Hall '-P 4 2'
loop_
_atom_site_label
_atom_site_type_symbol
_atom_site_fract_x
_atom_site_fract_y
_atom_site_fract_z
Ca1 Ca 0.0000 0.0000 0.0000
Y1 Y 0.5000 0.5000 0.0000
Sc1 Sc 0.0000 0.5000 0.5000
Tc1 Tc 0.5000 0.5000 0.5000
# Total magnetic moment = 0.000 μB/atom
# Formation enthalpy at 0 K = 0.0412 eV per atom

***

# La2Pm6Y3Th, relaxed, DFT PBE-GGA
data_La2Pm6Y3Th
_chemical_formula_sum 'La4 Pm12 Y6 Th2'
_cell_length_a 6.3148
_cell_length_b 10.9333
_cell_length_c 12.0585
_cell_angle_alpha 90.00
_cell_angle_beta 100.06
_cell_angle_gamma 90.00
_symmetry_space_group_name_H-M 'C 1 2/m 1'
_symmetry_Int_Tables_number 12
loop_
_symmetry_equiv_pos_as_xyz
'x,y,z'
'-x,-y,-z'
'-x,y,-z'
'x,-y,z'
'x+1/2,y+1/2,z'
'-x+1/2,-y+1/2,-z'
'-x+1/2,y+1/2,-z'
'x+1/2,-y+1/2,z'
loop_
_atom_site_label
_atom_site_type_symbol
_atom_site_fract_x
_atom_site_fract_y
_atom_site_fract_z
La1 La 0.0000 0.1666 0.0000
Pm1 Pm 0.2441 0.5000 0.7489
Pm2 Pm 0.2485 0.3358 0.2514
Y1 Y 0.0000 0.0000 0.5000
Y2 Y 0.0000 0.3334 0.5000
Th1 Th 0.0000 0.5000 0.0000
# Total magnetic moment = 0.000 μB/atom
# Formation enthalpy at 0 K = 0.0312 eV per atom

***

# Ba2CuTeN, relaxed, DFT PBE-GGA
data_Ba2CuTeN
_chemical_formula_sum 'Ba2 Cu1 Te1 N1'
_cell_length_a 5.8570
_cell_length_b 5.8570
_cell_length_c 3.9172
_cell_angle_alpha 90.00
_cell_angle_beta 90.00
_cell_angle_gamma 90.00
_symmetry_space_group_name_H-M 'P 4/m m m'
_symmetry_Int_Tables_number 123
_symmetry_space_group_name_Hall '-P 4 2'
loop_
_atom_site_label
_atom_site_type_symbol
_atom_site_fract_x
_atom_site_fract_y
_atom_site_fract_z
Ba1 Ba 0.0000 0.5000 0.0000
Cu1 Cu 0.0000 0.0000 0.5000
Te1 Te 0.5000 0.5000 0.5000
N1 N 0.0000 0.0000 0.0000
# E_form (uncorrected) = -0.77 eV per atom
# Total magnetic moment = 0.000 μB/atom

***

# YTh2WN5, relaxed, DFT PBE-GGA
data_YTh2WN5
_chemical_formula_sum 'Y2 Th4 W2 N10'
_cell_length_a 6.8310
_cell_length_b 6.8310
_cell_length_c 5.9204
_cell_angle_alpha 90.00
_cell_angle_beta 90.00
_cell_angle_gamma 90.00
_symmetry_space_group_name_H-M 'P 4/m b m'
_symmetry_Int_Tables_number 127
_symmetry_space_group_name_Hall '-P 4 2ab'
loop_
_atom_site_label
_atom_site_type_symbol
_atom_site_fract_x
_atom_site_fract_y
_atom_site_fract_z
Y1 Y 0.0000 0.0000 0.0000
Th1 Th 0.1713 0.3287 0.5000
W1 W 0.0000 0.5000 0.0000
N1 N 0.0000 0.0000 0.5000
N2 N 0.1439 0.6439 0.2342
# E_form (uncorrected) = -1.07 eV per atom
# Total magnetic moment = 0.000 μB/atom

***

# La3Pm4Mg, relaxed, DFT PBE-GGA
data_La3Pm4Mg
_chemical_formula_sum 'La6 Pm8 Mg2'
_cell_length_a 3.5723
_cell_length_b 11.9317
_cell_length_c 13.0922
_cell_angle_alpha 90.00
_cell_angle_beta 90.00
_cell_angle_gamma 90.00
_symmetry_space_group_name_H-M 'I m m m'
_symmetry_Int_Tables_number 71
_symmetry_space_group_name_Hall '-I 2 2'
loop_
_atom_site_label
_atom_site_type_symbol
_atom_site_fract_x
_atom_site_fract_y
_atom_site_fract_z
La1 La 0.0000 0.0000 0.0000
La2 La 0.0000 0.5000 0.2348
Pm1 Pm 0.0000 0.2482 0.3672
Mg1 Mg 0.0000 0.0000 0.5000
# Total magnetic moment = 0.000 μB/atom
# Formation enthalpy at 0 K = 0.0774 eV per atom

***

# LaMnSiBi, relaxed, DFT PBE-GGA
data_LaMnSiBi
_chemical_formula_sum 'La3 Mn3 Si3 Bi3'
_cell_length_a 4.1796
_cell_length_b 4.1796
_cell_length_c 20.2445
_cell_angle_alpha 90.00
_cell_angle_beta 90.00
_cell_angle_gamma 120.00
_symmetry_space_group_name_H-M 'R 3 m'
_symmetry_Int_Tables_number 160
_symmetry_space_group_name_Hall 'R 3 -2"'
loop_
_atom_site_label
_atom_site_type_symbol
_atom_site_fract_x
_atom_site_fract_y
_atom_site_fract_z
La1 La 0.0000 0.0000 0.0000
Mn1 Mn 0.0000 0.0000 0.2016
Si1 Si 0.0000 0.0000 0.5815
Bi1 Bi 0.0000 0.0000 0.4499
# E_form (uncorrected) = -0.24 eV per atom
# Total magnetic moment = 0.794 μB/atom

***

# SrSc, relaxed, DFT PBE-GGA
data_SrSc
_chemical_formula_sum 'Sr4 Sc4'
_cell_length_a 6.7938
_cell_length_b 6.7938
_cell_length_c 6.7938
_cell_angle_alpha 90.00
_cell_angle_beta 90.00
_cell_angle_gamma 90.00
_symmetry_space_group_name_H-M 'F m -3 m'
_symmetry_Int_Tables_number 225
_symmetry_space_group_name_Hall '-F 4 2 3'
loop_
_atom_site_label
_atom_site_type_symbol
_atom_site_fract_x
_atom_site_fract_y
_atom_site_fract_z
Sr1 Sr 0.0000 0.0000 0.0000
Sc1 Sc 0.0000 0.0000 0.5000
# Total magnetic moment = 0.319 μB/atom
# Formation enthalpy at 0 K = 0.9308 eV per atom

***

# SrInGa2Au, relaxed, DFT PBE-GGA
data_SrInGa2Au
_chemical_formula_sum 'Sr2 In2 Ga4 Au2'
_cell_length_a 4.5096
_cell_length_b 4.5475
_cell_length_c 11.5483
_cell_angle_alpha 90.00
_cell_angle_beta 90.00
_cell_angle_gamma 90.00
_symmetry_space_group_name_H-M 'I m m 2'
_symmetry_Int_Tables_number 44
loop_
_symmetry_equiv_pos_as_xyz
'x,y,z'
'-x,-y,z'
'-x,y,z'
'x,-y,z'
'x+1/2,y+1/2,z+1/2'
'-x+1/2,-y+1/2,z+1/2'
'-x+1/2,y+1/2,z+1/2'
'x+1/2,-y+1/2,z+1/2'
loop_
_atom_site_label
_atom_site_type_symbol
_atom_site_fract_x
_atom_site_fract_y
_atom_site_fract_z
Sr1 Sr 0.0000 0.0000 0.0000
In1 In 0.0000 0.5000 0.7461
Ga1 Ga 0.0000 0.0000 0.6095
Ga2 Ga 0.0000 0.5000 0.2523
Au1 Au 0.0000 0.0000 0.3884
# Total magnetic moment = 0.000 μB/atom
# Formation enthalpy at 0 K = -0.4922 eV per atom

***

# Ir3Os2Ru2, relaxed, DFT PBE-GGA
data_Ir3Os2Ru2
_chemical_formula_sum 'Ir6 Os4 Ru4'
_cell_length_a 2.7113
_cell_length_b 20.4730
_cell_length_c 3.8329
_cell_angle_alpha 90.00
_cell_angle_beta 90.00
_cell_angle_gamma 90.00
_symmetry_space_group_name_H-M 'C m m m'
_symmetry_Int_Tables_number 65
_symmetry_space_group_name_Hall '-C 2 2'
loop_
_atom_site_label
_atom_site_type_symbol
_atom_site_fract_x
_atom_site_fract_y
_atom_site_fract_z
Ir1 Ir 0.0000 0.0000 0.0000
Ir2 Ir 0.0000 0.4327 0.5000
Os1 Os 0.0000 0.3026 0.5000
Ru1 Ru 0.0000 0.1359 0.0000
# Total magnetic moment = 0.000 μB/atom
# Formation enthalpy at 0 K = 0.2277 eV per atom

***

# ZrSi2Ru3, relaxed, DFT PBE-GGA
data_ZrSi2Ru3
_chemical_formula_sum 'Zr6 Si12 Ru18'
_cell_length_a 15.8078
_cell_length_b 3.9322
_cell_length_c 9.4038
_cell_angle_alpha 90.00
_cell_angle_beta 108.46
_cell_angle_gamma 90.00
_symmetry_space_group_name_H-M 'C 1 2/m 1'
_symmetry_Int_Tables_number 12
loop_
_symmetry_equiv_pos_as_xyz
'x,y,z'
'-x,-y,-z'
'-x,y,-z'
'x,-y,z'
'x+1/2,y+1/2,z'
'-x+1/2,-y+1/2,-z'
'-x+1/2,y+1/2,-z'
'x+1/2,-y+1/2,z'
loop_
_atom_site_label
_atom_site_type_symbol
_atom_site_fract_x
_atom_site_fract_y
_atom_site_fract_z
Zr1 Zr 0.0000 0.0000 0.0000
Zr2 Zr 0.1639 0.0000 0.6983
Si1 Si 0.0408 0.5000 0.7848
Si2 Si 0.1399 0.5000 0.4501
Si3 Si 0.1952 0.0000 0.1286
Ru1 Ru 0.0000 0.5000 0.5000
Ru2 Ru 0.0398 0.0000 0.3389
Ru3 Ru 0.1131 0.5000 0.1855
Ru4 Ru 0.1813 0.5000 0.9656
Ru5 Ru 0.2145 0.0000 0.3885
# E_form (uncorrected) = -0.58 eV per atom
# Total magnetic moment = 0.000 μB/atom

***

# SiGeCl, relaxed, DFT PBE-GGA
data_SiGeCl
_chemical_formula_sum 'Si2 Ge2 Cl2'
_cell_length_a 3.9784
_cell_length_b 3.9787
_cell_length_c 11.7661
_cell_angle_alpha 93.82
_cell_angle_beta 95.70
_cell_angle_gamma 119.99
_symmetry_space_group_name_H-M 'P 1'
_symmetry_Int_Tables_number 1
loop_
_symmetry_equiv_pos_as_xyz
'x,y,z'
loop_
_atom_site_label
_atom_site_type_symbol
_atom_site_fract_x
_atom_site_fract_y
_atom_site_fract_z
Si1 Si 0.0000 0.0000 0.0000
Si2 Si 0.1787 0.1582 0.3489
Ge1 Ge 0.3683 0.6973 0.0668
Ge2 Ge 0.4771 0.7942 0.2821
Cl1 Cl 0.2736 0.2411 0.5277
Cl2 Cl 0.9042 0.9171 0.8212
# E_form (uncorrected) = -0.45 eV per atom
# Total magnetic moment = 0.000 μB/atom

***

# Er3Tm3Pb, relaxed, DFT PBE-GGA
data_Er3Tm3Pb
_chemical_formula_sum 'Er18 Tm18 Pb6'
_cell_length_a 8.3267
_cell_length_b 8.3267
_cell_length_c 21.7603
_cell_angle_alpha 90.00
_cell_angle_beta 90.00
_cell_angle_gamma 120.00
_symmetry_space_group_name_H-M 'R -3'
_symmetry_Int_Tables_number 148
_symmetry_space_group_name_Hall '-R 3'
loop_
_atom_site_label
_atom_site_type_symbol
_atom_site_fract_x
_atom_site_fract_y
_atom_site_fract_z
Er1 Er 0.0433 0.2681 0.2127
Tm1 Tm 0.0283 0.2584 0.0550
Pb1 Pb 0.0000 0.0000 0.3367
# Total magnetic moment = 0.000 μB/atom
# Formation enthalpy at 0 K = 0.0948 eV per atom

***

# ReRu3Cl, relaxed, DFT PBE-GGA
data_ReRu3Cl
_chemical_formula_sum 'Re1 Ru3 Cl1'
_cell_length_a 4.3004
_cell_length_b 4.3004
_cell_length_c 4.3004
_cell_angle_alpha 90.00
_cell_angle_beta 90.00
_cell_angle_gamma 90.00
_symmetry_space_group_name_H-M 'P m -3 m'
_symmetry_Int_Tables_number 221
_symmetry_space_group_name_Hall '-P 4 2 3'
loop_
_atom_site_label
_atom_site_type_symbol
_atom_site_fract_x
_atom_site_fract_y
_atom_site_fract_z
Re1 Re 0.0000 0.0000 0.0000
Ru1 Ru 0.0000 0.5000 0.5000
Cl1 Cl 0.5000 0.5000 0.5000
# E_form (uncorrected) = 1.53 eV per atom
# Total magnetic moment = 0.282 μB/atom

***

# Pr7Hg3O2, relaxed, DFT PBE-GGA
data_Pr7Hg3O2
_chemical_formula_sum 'Pr14 Hg6 O4'
_cell_length_a 5.0375
_cell_length_b 24.6798
_cell_length_c 4.9532
_cell_angle_alpha 90.00
_cell_angle_beta 90.00
_cell_angle_gamma 90.00
_symmetry_space_group_name_H-M 'C m m m'
_symmetry_Int_Tables_number 65
_symmetry_space_group_name_Hall '-C 2 2'
loop_
_atom_site_label
_atom_site_type_symbol
_atom_site_fract_x
_atom_site_fract_y
_atom_site_fract_z
Pr1 Pr 0.0000 0.0000 0.0000
Pr2 Pr 0.0000 0.0993 0.5000
Pr3 Pr 0.0000 0.2045 0.0000
Pr4 Pr 0.0000 0.3982 0.0000
Hg1 Hg 0.0000 0.3022 0.5000
Hg2 Hg 0.0000 0.5000 0.5000
O1 O 0.0000 0.1023 0.0000
# E_form (uncorrected) = -1.14 eV per atom
# Total magnetic moment = 0.000 μB/atom

***

# HoMnSi2Tc, relaxed, DFT PBE-GGA
data_HoMnSi2Tc
_chemical_formula_sum 'Ho2 Mn2 Si4 Tc2'
_cell_length_a 3.9868
_cell_length_b 3.9868
_cell_length_c 10.3814
_cell_angle_alpha 90.00
_cell_angle_beta 90.00
_cell_angle_gamma 90.00
_symmetry_space_group_name_H-M 'I -4 m 2'
_symmetry_Int_Tables_number 119
_symmetry_space_group_name_Hall 'I -4 -2'
loop_
_atom_site_label
_atom_site_type_symbol
_atom_site_fract_x
_atom_site_fract_y
_atom_site_fract_z
Ho1 Ho 0.0000 0.0000 0.0000
Mn1 Mn 0.0000 0.5000 0.7500
Si1 Si 0.0000 0.0000 0.3824
Tc1 Tc 0.0000 0.5000 0.2500
# E_form (uncorrected) = -0.65 eV per atom
# Total magnetic moment = 0.512 μB/atom

***

# Tc2BAu, relaxed, DFT PBE-GGA
data_Tc2BAu
_chemical_formula_sum 'Tc8 B4 Au4'
_cell_length_a 4.4465
_cell_length_b 4.4465
_cell_length_c 13.8107
_cell_angle_alpha 90.00
_cell_angle_beta 90.00
_cell_angle_gamma 90.00
_symmetry_space_group_name_H-M 'I -4 2 d'
_symmetry_Int_Tables_number 122
_symmetry_space_group_name_Hall 'I -4 2bw'
loop_
_atom_site_label
_atom_site_type_symbol
_atom_site_fract_x
_atom_site_fract_y
_atom_site_fract_z
Tc1 Tc 0.1256 0.2500 0.1250
B1 B 0.0000 0.0000 0.0000
Au1 Au 0.0000 0.0000 0.5000
# Total magnetic moment = 0.000 μB/atom
# Formation enthalpy at 0 K = 0.9346 eV per atom